Record 1
# PBE LaCdCo2, optimized geometry
data_LaCdCo2
_cell_length_a 4.522
_cell_length_b 4.522
_cell_length_c 3.478
_cell_angle_alpha 90.00
_cell_angle_beta 90.00
_cell_angle_gamma 90.00
_space_group_name_H-M_alt 'P 4/m m m'
_space_group_IT_number 123
_space_group_name_Hall '-P 4 2'
loop_
_atom_site_label
_atom_site_type_symbol
_atom_site_fract_x
_atom_site_fract_y
_atom_site_fract_z
_atom_site_occupancy
La1 La 0.000 0.000 0.000 1
Cd1 Cd 0.500 0.500 0.000 1
Co1 Co 0.000 0.500 0.500 1
# density of states at the Fermi level = 4.6 states/eV per cell

Record 2
# PBE La8Cd2Co3, optimized geometry
data_La8Cd2Co3
_cell_length_a 15.994
_cell_length_b 7.573
_cell_length_c 7.285
_cell_angle_alpha 90.00
_cell_angle_beta 108.23
_cell_angle_gamma 90.00
_space_group_name_H-M_alt 'C 1 2/m 1'
_space_group_IT_number 12
_space_group_name_Hall '-C 2y'
loop_
_atom_site_label
_atom_site_type_symbol
_atom_site_fract_x
_atom_site_fract_y
_atom_site_fract_z
_atom_site_occupancy
La1 La 0.094 0.240 0.372 1
La2 La 0.107 0.500 0.963 1
La3 La 0.121 0.000 0.870 1
Cd1 Cd 0.238 0.500 0.686 1
Co1 Co 0.000 0.000 0.500 1
Co2 Co 0.000 0.212 0.000 1
# density of states at the Fermi level = 24.5 states/eV per cell

Record 3
# PBE LaCdCo3, optimized geometry
data_LaCdCo3
_cell_length_a 4.655
_cell_length_b 4.655
_cell_length_c 4.655
_cell_angle_alpha 90.00
_cell_angle_beta 90.00
_cell_angle_gamma 90.00
_space_group_name_H-M_alt 'P m -3 m'
_space_group_IT_number 221
_space_group_name_Hall '-P 4 2 3'
loop_
_atom_site_label
_atom_site_type_symbol
_atom_site_fract_x
_atom_site_fract_y
_atom_site_fract_z
_atom_site_occupancy
La1 La 0.000 0.000 0.000 1
Cd1 Cd 0.500 0.500 0.500 1
Co1 Co 0.000 0.000 0.500 1
# density of states at the Fermi level = 3.5 states/eV per cell

Record 4
# PBE La5CdCo, optimized geometry
data_La5CdCo
_cell_length_a 5.027
_cell_length_b 5.027
_cell_length_c 8.307
_cell_angle_alpha 90.00
_cell_angle_beta 90.00
_cell_angle_gamma 90.00
_space_group_name_H-M_alt 'P 4/m m m'
_space_group_IT_number 123
_space_group_name_Hall '-P 4 2'
loop_
_atom_site_label
_atom_site_type_symbol
_atom_site_fract_x
_atom_site_fract_y
_atom_site_fract_z
_atom_site_occupancy
La1 La 0.000 0.000 0.000 1
La2 La 0.000 0.500 0.308 1
Cd1 Cd 0.500 0.500 0.000 1
Co1 Co 0.000 0.000 0.500 1
# density of states at the Fermi level = 10.2 states/eV per cell

Record 5
# PBE La3CdCo, optimized geometry
data_La3CdCo
_cell_length_a 5.354
_cell_length_b 5.354
_cell_length_c 5.354
_cell_angle_alpha 90.00
_cell_angle_beta 90.00
_cell_angle_gamma 90.00
_space_group_name_H-M_alt 'P m -3 m'
_space_group_IT_number 221
_space_group_name_Hall '-P 4 2 3'
loop_
_atom_site_label
_atom_site_type_symbol
_atom_site_fract_x
_atom_site_fract_y
_atom_site_fract_z
_atom_site_occupancy
La1 La 0.000 0.000 0.500 1
Cd1 Cd 0.500 0.500 0.500 1
Co1 Co 0.000 0.000 0.000 1
# density of states at the Fermi level = 6.9 states/eV per cell

Record 6
# PBE LaCdCo2, optimized geometry
data_LaCdCo2
_cell_length_a 6.977
_cell_length_b 6.977
_cell_length_c 6.152
_cell_angle_alpha 90.00
_cell_angle_beta 90.00
_cell_angle_gamma 90.00
_space_group_name_H-M_alt 'I -4 2 d'
_space_group_IT_number 122
_space_group_name_Hall 'I -4 2bw'
loop_
_atom_site_label
_atom_site_type_symbol
_atom_site_fract_x
_atom_site_fract_y
_atom_site_fract_z
_atom_site_occupancy
La1 La 0.000 0.000 0.000 1
Cd1 Cd 0.000 0.000 0.500 1
Co1 Co 0.244 0.250 0.125 1
# density of states at the Fermi level = 7.6 states/eV per cell

Record 7
# PBE La3CdCo, optimized geometry
data_La3CdCo
_cell_length_a 5.539
_cell_length_b 6.564
_cell_length_c 9.489
_cell_angle_alpha 95.78
_cell_angle_beta 106.93
_cell_angle_gamma 114.77
_space_group_name_H-M_alt 'P -1'
_space_group_IT_number 2
_space_group_name_Hall '-P 1'
loop_
_atom_site_label
_atom_site_type_symbol
_atom_site_fract_x
_atom_site_fract_y
_atom_site_fract_z
_atom_site_occupancy
La1 La 0.009 0.362 0.158 1
La2 La 0.200 0.327 0.568 1
La3 La 0.364 0.979 0.250 1
Cd1 Cd 0.344 0.251 0.939 1
Co1 Co 0.335 0.729 0.445 1
# density of states at the Fermi level = 9.2 states/eV per cell

Record 8
# PBE LaCdCo2, optimized geometry
data_LaCdCo2
_cell_length_a 3.210
_cell_length_b 4.610
_cell_length_c 10.177
_cell_angle_alpha 90.00
_cell_angle_beta 90.00
_cell_angle_gamma 90.00
_space_group_name_H-M_alt 'I m m 2'
_space_group_IT_number 44
_space_group_name_Hall 'I 2 -2'
loop_
_atom_site_label
_atom_site_type_symbol
_atom_site_fract_x
_atom_site_fract_y
_atom_site_fract_z
_atom_site_occupancy
La1 La 0.000 0.000 0.000 1
Cd1 Cd 0.000 0.500 0.217 1
Co1 Co 0.000 0.000 0.470 1
Co2 Co 0.000 0.500 0.793 1
# density of states at the Fermi level = 10.3 states/eV per cell

Record 9
# PBE La5CdCo2, optimized geometry
data_La5CdCo2
_cell_length_a 7.943
_cell_length_b 7.943
_cell_length_c 14.195
_cell_angle_alpha 90.00
_cell_angle_beta 90.00
_cell_angle_gamma 90.00
_space_group_name_H-M_alt 'I 4/m c m'
_space_group_IT_number 140
_space_group_name_Hall '-I 4 2c'
loop_
_atom_site_label
_atom_site_type_symbol
_atom_site_fract_x
_atom_site_fract_y
_atom_site_fract_z
_atom_site_occupancy
La1 La 0.000 0.000 0.000 1
La2 La 0.159 0.341 0.128 1
Cd1 Cd 0.000 0.000 0.250 1
Co1 Co 0.135 0.365 0.500 1
# density of states at the Fermi level = 41.5 states/eV per cell

Record 10
# PBE La7Cd2Co2, optimized geometry
data_La7Cd2Co2
_cell_length_a 8.070
_cell_length_b 11.631
_cell_length_c 7.308
_cell_angle_alpha 90.00
_cell_angle_beta 90.00
_cell_angle_gamma 90.00
_space_group_name_H-M_alt 'C m m m'
_space_group_IT_number 65
_space_group_name_Hall '-C 2 2'
loop_
_atom_site_label
_atom_site_type_symbol
_atom_site_fract_x
_atom_site_fract_y
_atom_site_fract_z
_atom_site_occupancy
La1 La 0.000 0.000 0.000 1
La2 La 0.000 0.500 0.226 1
La3 La 0.250 0.250 0.245 1
Cd1 Cd 0.173 0.000 0.500 1
Co1 Co 0.000 0.289 0.000 1
# density of states at the Fermi level = 28.3 states/eV per cell

Record 11
# PBE La12CdCo6, optimized geometry
data_La12CdCo6
_cell_length_a 10.155
_cell_length_b 10.155
_cell_length_c 10.155
_cell_angle_alpha 90.00
_cell_angle_beta 90.00
_cell_angle_gamma 90.00
_space_group_name_H-M_alt 'I m -3'
_space_group_IT_number 204
_space_group_name_Hall '-I 2 2 3'
loop_
_atom_site_label
_atom_site_type_symbol
_atom_site_fract_x
_atom_site_fract_y
_atom_site_fract_z
_atom_site_occupancy
La1 La 0.000 0.312 0.191 1
Cd1 Cd 0.000 0.000 0.000 1
Co1 Co 0.000 0.118 0.500 1
# density of states at the Fermi level = 36.6 states/eV per cell

Record 12
# PBE La3CdCo3, optimized geometry
data_La3CdCo3
_cell_length_a 10.1694
_cell_length_b 10.1694
_cell_length_c 3.8295
_cell_angle_alpha 90.00
_cell_angle_beta 90.00
_cell_angle_gamma 120.00
_space_group_name_H-M_alt 'P 63/m'
_space_group_IT_number 176
_space_group_name_Hall '-P 6c'
loop_
_atom_site_label
_atom_site_type_symbol
_atom_site_fract_x
_atom_site_fract_y
_atom_site_fract_z
_atom_site_occupancy
La1 La 0.0556 0.3638 0.2500 1
Cd1 Cd 0.3333 0.6667 0.7500 1
Co1 Co 0.0223 0.1556 0.7500 1
# density of states at the Fermi level = 21.2 states/eV per cell

ΔH_f (0 K) for every record listed, in sequence, given in eV per formula unit: 0.82, -1.09, 6.83, -0.46, -0.84, 1.97, -0.95, 0.81, -1.23, -1.40, -2.93, -0.78.
Uncorrected energy for every record listed, in sequence, given in eV per atom: -4.808, -4.897, -4.066, -4.732, -4.729, -4.520, -4.750, -4.812, -5.125, -4.721, -5.559, -5.399.